Record 1
TbDy3Al2: optimized geometry, PBE.

Computed properties:
As for the total energy: -4.6101 eV/atom. Its total magnetization is 0.000 μB per formula unit.

The structure in CIF format:
```
data_TbDy3Al2
_chemical_formula_sum 'Tb2 Dy6 Al4'
_cell_length_a 5.1025
_cell_length_b 9.4898
_cell_length_c 6.5543
_cell_angle_alpha 90.00
_cell_angle_beta 90.00
_cell_angle_gamma 90.00
_space_group_name_H-M_alt 'P m c 21'
_space_group_IT_number 26
loop_
_space_group_symop_operation_xyz
'x,y,z'
'-x,-y,z+1/2'
'-x,y,z'
'x,-y,z+1/2'
loop_
_atom_site_label
_atom_site_type_symbol
_atom_site_fract_x
_atom_site_fract_y
_atom_site_fract_z
Tb1 Tb 0.0000 0.0416 0.0000
Dy1 Dy 0.0000 0.3235 0.6572
Dy2 Dy 0.5000 0.1778 0.2855
Dy3 Dy 0.5000 0.4579 0.9430
Al1 Al 0.0000 0.3536 0.1784
Al2 Al 0.5000 0.1468 0.7639
```


Record 2
MnPt3Au: optimized geometry, PBE.

Computed properties:
As for the total energy: -5.1201 eV/atom. Its total magnetization is 0.000 μB per formula unit.

The structure in CIF format:
```
data_MnPt3Au
_chemical_formula_sum 'Mn1 Pt3 Au1'
_cell_length_a 4.5571
_cell_length_b 4.5571
_cell_length_c 4.5571
_cell_angle_alpha 90.00
_cell_angle_beta 90.00
_cell_angle_gamma 90.00
_space_group_name_H-M_alt 'P m -3 m'
_space_group_IT_number 221
_space_group_name_Hall '-P 4 2 3'
loop_
_atom_site_label
_atom_site_type_symbol
_atom_site_fract_x
_atom_site_fract_y
_atom_site_fract_z
Mn1 Mn 0.0000 0.0000 0.0000
Pt1 Pt 0.0000 0.0000 0.5000
Au1 Au 0.5000 0.5000 0.5000
```


Record 3
PdAuBr2Cl: optimized geometry, PBE.

Computed properties:
As for the total energy: -1.9197 eV/atom. Its total magnetization is 0.680 μB per formula unit.

The structure in CIF format:
```
data_PdAuBr2Cl
_chemical_formula_sum 'Pd1 Au1 Br2 Cl1'
_cell_length_a 5.6645
_cell_length_b 5.6645
_cell_length_c 4.6534
_cell_angle_alpha 90.00
_cell_angle_beta 90.00
_cell_angle_gamma 90.00
_space_group_name_H-M_alt 'P 4/m m m'
_space_group_IT_number 123
_space_group_name_Hall '-P 4 2'
loop_
_atom_site_label
_atom_site_type_symbol
_atom_site_fract_x
_atom_site_fract_y
_atom_site_fract_z
Pd1 Pd 0.0000 0.0000 0.0000
Au1 Au 0.5000 0.5000 0.0000
Br1 Br 0.0000 0.5000 0.5000
Cl1 Cl 0.5000 0.5000 0.5000
```


Record 4
RhSe2Cl: optimized geometry, PBE.

Computed properties:
As for the total energy: -3.7906 eV/atom. Its total magnetization is 0.000 μB per formula unit.

The structure in CIF format:
```
data_RhSe2Cl
_chemical_formula_sum 'Rh2 Se4 Cl2'
_cell_length_a 5.2995
_cell_length_b 5.2995
_cell_length_c 5.3703
_cell_angle_alpha 90.00
_cell_angle_beta 90.00
_cell_angle_gamma 90.00
_space_group_name_H-M_alt 'I 4/m m m'
_space_group_IT_number 139
_space_group_name_Hall '-I 4 2'
loop_
_atom_site_label
_atom_site_type_symbol
_atom_site_fract_x
_atom_site_fract_y
_atom_site_fract_z
Rh1 Rh 0.0000 0.0000 0.0000
Se1 Se 0.0000 0.5000 0.0000
Cl1 Cl 0.0000 0.0000 0.5000
```


Record 5
RbInB: optimized geometry, PBE.

Computed properties:
As for the total energy: -3.2135 eV/atom. Its total magnetization is 0.000 μB per formula unit.

The structure in CIF format:
```
data_RbInB
_chemical_formula_sum 'Rb4 In4 B4'
_cell_length_a 15.5932
_cell_length_b 3.2309
_cell_length_c 6.8877
_cell_angle_alpha 90.00
_cell_angle_beta 93.90
_cell_angle_gamma 90.00
_space_group_name_H-M_alt 'C 1 2/m 1'
_space_group_IT_number 12
loop_
_space_group_symop_operation_xyz
'x,y,z'
'-x,-y,-z'
'-x,y,-z'
'x,-y,z'
'x+1/2,y+1/2,z'
'-x+1/2,-y+1/2,-z'
'-x+1/2,y+1/2,-z'
'x+1/2,-y+1/2,z'
loop_
_atom_site_label
_atom_site_type_symbol
_atom_site_fract_x
_atom_site_fract_y
_atom_site_fract_z
Rb1 Rb 0.0822 0.0000 0.2550
In1 In 0.1764 0.0000 0.7970
B1 B 0.2443 0.5000 0.5030
```


Record 6
Pm7NdCo2: optimized geometry, PBE.

Computed properties:
As for the total energy: -5.0916 eV/atom. Its total magnetization is 0.003 μB per formula unit.

The structure in CIF format:
```
data_Pm7NdCo2
_chemical_formula_sum 'Pm14 Nd2 Co4'
_cell_length_a 8.7467
_cell_length_b 14.4610
_cell_length_c 5.1791
_cell_angle_alpha 90.00
_cell_angle_beta 90.00
_cell_angle_gamma 90.00
_space_group_name_H-M_alt 'C m m m'
_space_group_IT_number 65
_space_group_name_Hall '-C 2 2'
loop_
_atom_site_label
_atom_site_type_symbol
_atom_site_fract_x
_atom_site_fract_y
_atom_site_fract_z
Pm1 Pm 0.0000 0.0000 0.0000
Pm2 Pm 0.0000 0.2058 0.5000
Pm3 Pm 0.1915 0.3632 0.0000
Nd1 Nd 0.0000 0.5000 0.5000
Co1 Co 0.0000 0.1972 0.0000
```